Density functional theory data (PBEsol) for a relaxed structure of SiHgRu2.

a = 2.778 Å, b = 3.590 Å, c = 6.189 Å
α = 90.00°, β = 90.00°, γ = 90.00°
Space group Pmm2 (No. 25)
Unique sites:
Si 0.000 0.000 0.000
Hg 0.500 0.500 0.338
Ru 0.000 0.000 0.612
Ru 0.500 0.500 0.858

Output
* magnetization: 0.00 μB/cell
* VASP energy: -25.8 eV for the cell shown

***

Density functional theory data (PBEsol) for a relaxed structure of SiHgRu2.

a = 2.8317 Å, b = 2.8317 Å, c = 26.1213 Å
α = 90.00°, β = 90.00°, γ = 120.00°
Space group R3m (No. 160, hexagonal axes)
Unique sites:
Si 0.0000 0.0000 0.0000
Hg 0.0000 0.0000 0.7607
Ru 0.0000 0.0000 0.2631
Ru 0.0000 0.0000 0.5187

Output
* magnetization: 0.00 μB/cell
* VASP energy: -77.4 eV for the cell shown

***

Density functional theory data (PBEsol) for a relaxed structure of SiHgRu2.

a = 2.790 Å, b = 2.790 Å, c = 8.010 Å
α = 90.00°, β = 90.00°, γ = 90.00°
Space group P4mm (No. 99)
Unique sites:
Si 0.000 0.000 0.000
Hg 0.500 0.500 0.320
Ru 0.000 0.000 0.587
Ru 0.500 0.500 0.796

Output
* magnetization: 0.00 μB/cell
* VASP energy: -25.8 eV for the cell shown

***

Density functional theory data (PBEsol) for a relaxed structure of SiHg3Ru.

a = 5.079 Å, b = 5.079 Å, c = 5.079 Å
α = 90.00°, β = 90.00°, γ = 90.00°
Space group Pm-3m (No. 221)
Unique sites:
Si 0.000 0.000 0.000
Hg 0.000 0.500 0.500
Ru 0.500 0.500 0.500

Output
* magnetization: 1.22 μB/cell
* VASP energy: -12.2 eV for the cell shown

***

Density functional theory data (PBEsol) for a relaxed structure of Sr3HgRu.

a = 5.908 Å, b = 5.908 Å, c = 5.908 Å
α = 90.00°, β = 90.00°, γ = 90.00°
Space group Pm-3m (No. 221)
Unique sites:
Sr 0.000 0.000 0.500
Hg 0.000 0.000 0.000
Ru 0.500 0.500 0.500

Output
* ΔE_f: 0.84 eV per atom
* magnetization: 2.01 μB/cell

***

Density functional theory data (PBEsol) for a relaxed structure of SrHg2Ru.

a = 3.684 Å, b = 4.809 Å, c = 9.773 Å
α = 90.00°, β = 90.00°, γ = 90.00°
Space group Imm2 (No. 44)
Unique sites:
Sr 0.000 0.000 0.000
Hg 0.000 0.000 0.542
Hg 0.000 0.500 0.775
Ru 0.000 0.500 0.251

Output
* ΔE_f: 0.25 eV per atom
* magnetization: 0.00 μB/cell

***

Density functional theory data (PBEsol) for a relaxed structure of TaHg2Ru.

a = 3.300 Å, b = 4.788 Å, c = 9.116 Å
α = 90.00°, β = 90.00°, γ = 90.00°
Space group Imm2 (No. 44)
Unique sites:
Ta 0.000 0.000 0.000
Hg 0.000 0.000 0.537
Hg 0.000 0.500 0.769
Ru 0.000 0.500 0.300

Output
* ΔE_f: 0.28 eV per atom
* magnetization: 0.00 μB/cell

***

Density functional theory data (PBEsol) for a relaxed structure of TaHg2Ru.

a = 4.088 Å, b = 4.088 Å, c = 8.209 Å
α = 90.00°, β = 90.00°, γ = 90.00°
Space group I-4m2 (No. 119)
Unique sites:
Ta 0.000 0.000 0.000
Hg 0.000 0.000 0.500
Hg 0.000 0.500 0.250
Ru 0.000 0.500 0.750

Output
* ΔE_f: 0.36 eV per atom
* magnetization: 0.00 μB/cell

***

Density functional theory data (PBEsol) for a relaxed structure of TaHg2Ru.

a = 2.961 Å, b = 4.229 Å, c = 5.530 Å
α = 90.00°, β = 90.00°, γ = 90.00°
Space group Pmmm (No. 47)
Unique sites:
Ta 0.000 0.000 0.000
Hg 0.500 0.500 0.255
Ru 0.000 0.000 0.500

Output
* ΔE_f: 0.43 eV per atom
* magnetization: 0.00 μB/cell

***

Density functional theory data (PBEsol) for a relaxed structure of TaHg2Ru.

a = 5.476 Å, b = 8.667 Å, c = 2.937 Å
α = 90.00°, β = 90.00°, γ = 90.00°
Space group Cmmm (No. 65)
Unique sites:
Ta 0.000 0.000 0.000
Hg 0.250 0.250 0.500
Ru 0.000 0.500 0.000

Output
* ΔE_f: 0.47 eV per atom
* magnetization: 0.00 μB/cell

***

Density functional theory data (PBEsol) for a relaxed structure of TaHgRu3.

a = 4.664 Å, b = 4.664 Å, c = 4.664 Å
α = 90.00°, β = 90.00°, γ = 90.00°
Space group Pm-3m (No. 221)
Unique sites:
Ta 0.000 0.000 0.000
Hg 0.500 0.500 0.500
Ru 0.000 0.000 0.500

Output
* ΔE_f: 1.58 eV per atom
* magnetization: 2.49 μB/cell

***

Density functional theory data (PBEsol) for a relaxed structure of TaHg2Ru.

a = 3.946 Å, b = 3.946 Å, c = 4.476 Å
α = 90.00°, β = 90.00°, γ = 90.00°
Space group P4/mmm (No. 123)
Unique sites:
Ta 0.000 0.000 0.000
Hg 0.000 0.500 0.500
Ru 0.500 0.500 0.000

Output
* ΔE_f: 0.43 eV per atom
* magnetization: 0.00 μB/cell

***

Density functional theory data (PBEsol) for a relaxed structure of Ta3HgRu.

a = 4.735 Å, b = 4.735 Å, c = 4.735 Å
α = 90.00°, β = 90.00°, γ = 90.00°
Space group Pm-3m (No. 221)
Unique sites:
Ta 0.000 0.000 0.500
Hg 0.500 0.500 0.500
Ru 0.000 0.000 0.000

Output
* ΔE_f: 1.07 eV per atom
* magnetization: 0.00 μB/cell

***

Density functional theory data (PBEsol) for a relaxed structure of TaHg2Ru.

a = 3.019 Å, b = 3.019 Å, c = 7.976 Å
α = 90.00°, β = 90.00°, γ = 90.00°
Space group P4mm (No. 99)
Unique sites:
Ta 0.000 0.000 0.000
Hg 0.000 0.000 0.563
Hg 0.500 0.500 0.273
Ru 0.500 0.500 0.815

Output
* ΔE_f: 0.09 eV per atom
* magnetization: 0.00 μB/cell

***

Density functional theory data (PBEsol) for a relaxed structure of TaHg2Ru.

a = 4.028 Å, b = 4.028 Å, c = 8.486 Å
α = 90.00°, β = 90.00°, γ = 90.00°
Space group I4/mmm (No. 139)
Unique sites:
Ta 0.000 0.000 0.000
Hg 0.000 0.500 0.250
Ru 0.000 0.000 0.500

Output
* ΔE_f: 0.38 eV per atom
* magnetization: 0.00 μB/cell